First-principles (PBE) data for crystalline Th2Ge3Rh2 at its relaxed geometry, as listed in Alexandria.

Lattice parameters (Å, degrees): 10.230 4.338 6.787 90.00 110.99 90.00
Space group C2/m (No. 12)
Inequivalent atoms, fractional coordinates:
Th1 0.148 0.000 0.280 x4
Ge1 0.000 0.500 0.500 x2
Ge2 0.116 0.500 0.937 x4
Rh1 0.145 0.000 0.730 x4

Values from the calculation:
Total DFT energy (no corrections) in eV/atom: -6.9314
N(E_F) in states/eV/f.u.: 4.29
ΔE_f in meV/atom: -732
Total magnetic moment in μB/cell: 0.000